Entry 1:
The following is a DFT calculation (PBE) of HgAsPd5 after structural relaxation.

Lattice parameters (Å, degrees): 4.058 4.058 7.137 90.00 90.00 90.00
Positions (direct):
Hg  0.500  0.500  0.000
Pd  0.500  0.000  0.707
Pd  0.000  0.500  0.293
Pd  0.500  0.000  0.293
Pd  0.000  0.000  0.000
Pd  0.000  0.500  0.707
As  0.000  0.000  0.500

Summary:
Crystal system: tetragonal
Fermi-level density of states (states/eV/cell): 2.88
DFT total energy (eV/atom): -4.713
Symmetry: P4/mmm (123)
Formation energy (eV/atom): -0.30


Entry 2:
The following is a DFT calculation (PBE) of Hg3AsPd after structural relaxation.

Lattice parameters (Å, degrees): 5.271 5.271 5.271 90.00 90.00 90.00
Positions (direct):
Hg  0.500  0.000  0.000
Hg  0.000  0.500  0.000
Hg  0.000  0.000  0.500
Pd  0.500  0.500  0.500
As  0.000  0.000  0.000

Summary:
Crystal system: cubic
Fermi-level density of states (states/eV/cell): 3.25
Polymorph energy (0 for the lowest one) (meV/atom): 125.6
DFT total energy (eV/atom): -1.559
Symmetry: Pm-3m (221)
Formation energy (eV/atom): 0.59